# 1
This record from Alexandria describes a crystal of TlFe2Ag relaxed with PBEsol. The functional is meta-GGA SCAN.

Cell lengths 8.770, 8.770, 8.770 Å; angles 19.36, 19.36, 19.36 degrees
Positions (direct):
Tl 0.000 0.000 0.000
Fe 0.245 0.245 0.245
Fe 0.515 0.515 0.515
Ag 0.766 0.766 0.766

Summary:
SG	R3m (160)
formation enthalpy at 0 K	0.405	eV per atom

***

# 2
This record from Alexandria describes a crystal of CdMo2Se relaxed with PBEsol. The functional is meta-GGA SCAN.

Cell lengths 5.574, 5.574, 5.574 Å; angles 147.83, 129.85, 60.85 degrees
Positions (direct):
Cd 0.000 0.000 0.000
Mo 0.510 0.510 0.000
Mo 0.710 0.210 0.500
Se 0.280 0.780 0.500

Summary:
energy relative to the elements, uncorrected	1.7	eV per formula unit
SG	Imm2 (44)

***

# 3
This record from Alexandria describes a crystal of Ba2YHgH relaxed with PBEsol. The functional is meta-GGA SCAN.

Cell lengths 6.503, 6.503, 3.950 Å; angles 90.00, 90.00, 90.00 degrees
Positions (direct):
Ba 0.000 0.500 0.000
Ba 0.500 0.000 0.000
Y 0.000 0.000 0.000
Hg 0.500 0.500 0.500
H 0.000 0.000 0.500

Summary:
SG	P4/mmm (123)
DFT total energy	-177.72	eV per formula unit

***

# 4
This record from Alexandria describes a crystal of NaCd2Ag2 relaxed with PBEsol. The functional is meta-GGA SCAN.

Cell lengths 8.144, 8.144, 3.035 Å; angles 90.00, 90.00, 90.00 degrees
Positions (direct):
Na 0.000 0.000 0.000
Na 0.500 0.500 0.000
Cd 0.129 0.371 0.000
Cd 0.371 0.871 0.000
Cd 0.629 0.129 0.000
Cd 0.871 0.629 0.000
Ag 0.169 0.669 0.500
Ag 0.331 0.169 0.500
Ag 0.669 0.831 0.500
Ag 0.831 0.331 0.500

Summary:
SG	P4/mbm (127)
formation enthalpy at 0 K	-0.089	eV per atom

***

# 5
This record from Alexandria describes a crystal of CsFeI2O relaxed with PBEsol. The functional is meta-GGA SCAN.

Cell lengths 6.628, 6.628, 4.238 Å; angles 90.00, 90.00, 90.00 degrees
Positions (direct):
Cs 0.000 0.000 0.000
Fe 0.500 0.500 0.500
I 0.000 0.500 0.000
I 0.500 0.000 0.000
O 0.000 0.000 0.500

Summary:
energy relative to the elements, uncorrected	3.5	eV per formula unit
SG	P4/mmm (123)

***

# 6
This record from Alexandria describes a crystal of SiBTe2Ir relaxed with PBEsol. The functional is meta-GGA SCAN.

Cell lengths 5.144, 5.144, 3.643 Å; angles 90.00, 90.00, 90.00 degrees
Positions (direct):
Si 0.000 0.000 0.000
B 0.000 0.000 0.500
Te 0.000 0.500 0.000
Te 0.500 0.000 0.000
Ir 0.500 0.500 0.500

Summary:
energy relative to the elements, uncorrected	6.0	eV per formula unit
SG	P4/mmm (123)

***

# 7
This record from Alexandria describes a crystal of FePt2Br relaxed with PBEsol. The functional is meta-GGA SCAN.

Cell lengths 2.868, 2.868, 7.708 Å; angles 90.00, 90.00, 90.00 degrees
Positions (direct):
Fe 0.000 0.000 0.000
Pt 0.000 0.000 0.463
Pt 0.500 0.500 0.216
Br 0.500 0.500 0.785

Summary:
energy relative to the elements, uncorrected	1.4	eV per formula unit
SG	P4mm (99)

***

# 8
This record from Alexandria describes a crystal of MoIr2Br relaxed with PBEsol. The functional is meta-GGA SCAN.

Cell lengths 10.013, 10.013, 10.013 Å; angles 15.92, 15.92, 15.92 degrees
Positions (direct):
Mo 0.000 0.000 0.000
Ir 0.262 0.262 0.262
Ir 0.738 0.738 0.738
Br 0.500 0.500 0.500

Summary:
energy relative to the elements, uncorrected	1.6	eV per formula unit
SG	R-3m (166)